The following is a GGA-PBE calculation of RbNpZn2Cl8 after structural relaxation, from the Alexandria database.

It has space group R-3 (No. 148, hexagonal axes), with a = 6.5155 Å, b = 6.5155 Å, c = 30.1963 Å, α = 90.00°, β = 90.00° and γ = 120.00°. The distinct sites, in fractional coordinates, are Rb at (0.0000, 0.0000, 0.0000), Np at (0.0000, 0.0000, 0.5000), Zn at (0.0000, 0.0000, 0.2502), Cl at (0.0000, 0.0000, 0.3231) and Cl at (0.0013, 0.3368, 0.5553).

The calculation puts the calculated volume at 30.8 Å³/atom. The calculation puts the total DFT energy (no corrections) at -4.0601 eV/atom. The value obtained for the size of the total moment is 12.00 μB/cell. As for the crystal system: trigonal.